# 1
# GGA-PBE LiDy5Tl8, relaxed
# calculated volume	385.5	Å³/cell
# formation enthalpy at 0 K	-5.080	kcal/mol of atoms
# Fermi-level density of states	9.7	states/eV per cell
# energy	-3.3527	eV/atom
# M_tot	0.0	Bohr magnetons per cell
data_LiDy5Tl8
_cell_length_a 7.942
_cell_length_b 7.942
_cell_length_c 7.942
_cell_angle_alpha 108.97
_cell_angle_beta 110.48
_cell_angle_gamma 108.97
_space_group_name_H-M_alt 'P 1'
_space_group_IT_number 1
loop_
_space_group_symop_operation_xyz
'x,y,z'
loop_
_atom_site_label
_atom_site_type_symbol
_atom_site_fract_x
_atom_site_fract_y
_atom_site_fract_z
Dy1 Dy 0.972 0.382 0.120
Dy2 Dy 0.738 0.618 0.590
Dy3 Dy 0.500 0.000 0.500
Dy4 Dy 0.410 0.148 0.028
Dy5 Dy 0.880 0.852 0.262
Tl1 Tl 0.627 0.894 0.878
Tl2 Tl 0.983 0.106 0.733
Tl3 Tl 0.597 0.418 0.846
Tl4 Tl 0.122 0.750 0.017
Tl5 Tl 0.428 0.582 0.179
Tl6 Tl 0.267 0.250 0.373
Tl7 Tl 0.821 0.249 0.403
Tl8 Tl 0.154 0.751 0.572
Li1 Li 0.250 0.500 0.750

# 2
# GGA-PBE Ca3La3DyS8, relaxed
# calculated volume	386.0	Å³/cell
# Fermi-level density of states	5.5	states/eV per cell
# energy	-6.0126	eV/atom
# raw formation energy	-31.78	eV per formula unit
# M_tot	0.0	Bohr magnetons per cell
data_Ca3La3DyS8
_cell_length_a 8.197
_cell_length_b 8.197
_cell_length_c 8.149
_cell_angle_alpha 120.20
_cell_angle_beta 90.00
_cell_angle_gamma 120.00
_space_group_name_H-M_alt 'P 1'
_space_group_IT_number 1
loop_
_space_group_symop_operation_xyz
'x,y,z'
loop_
_atom_site_label
_atom_site_type_symbol
_atom_site_fract_x
_atom_site_fract_y
_atom_site_fract_z
S1 S 0.239 0.004 0.743
S2 S 0.764 0.004 0.743
S3 S 0.753 0.507 0.760
S4 S 0.761 0.522 0.257
S5 S 0.761 0.996 0.257
S6 S 0.236 0.996 0.257
S7 S 0.247 0.493 0.240
S8 S 0.239 0.478 0.743
Dy1 Dy 0.000 0.000 0.500
La1 La 0.000 0.500 0.500
La2 La 0.500 0.000 0.500
La3 La 0.500 0.500 0.500
Ca1 Ca 0.000 0.500 0.000
Ca2 Ca 0.500 0.500 0.000
Ca3 Ca 0.000 0.000 0.000

# 3
# GGA-PBE MoC, relaxed
# calculated volume	25.9	Å³/cell
# formation enthalpy at 0 K	11.159	kcal/mol of atoms
# Fermi-level density of states	1.3	states/eV per cell
# energy	-9.5436	eV/atom
# excess energy over the best structure of this formula in the dataset	578	meV/atom
# M_tot	0.0	Bohr magnetons per cell
data_MoC
_cell_length_a 3.322
_cell_length_b 3.322
_cell_length_c 3.322
_cell_angle_alpha 60.00
_cell_angle_beta 60.00
_cell_angle_gamma 60.00
_space_group_name_H-M_alt 'P 1'
_space_group_IT_number 1
loop_
_space_group_symop_operation_xyz
'x,y,z'
loop_
_atom_site_label
_atom_site_type_symbol
_atom_site_fract_x
_atom_site_fract_y
_atom_site_fract_z
C1 C 0.250 0.250 0.250
Mo1 Mo 0.000 0.000 0.000

# 4
# GGA-PBE Y3Zn2Cd3, relaxed
# calculated volume	191.3	Å³/cell
# formation enthalpy at 0 K	-7.423	kcal/mol of atoms
# Fermi-level density of states	7.3	states/eV per cell
# energy	-3.4076	eV/atom
# M_tot	0.0	Bohr magnetons per cell
data_Y3Zn2Cd3
_cell_length_a 3.847
_cell_length_b 7.578
_cell_length_c 7.578
_cell_angle_alpha 120.00
_cell_angle_beta 90.00
_cell_angle_gamma 90.00
_space_group_name_H-M_alt 'P 1'
_space_group_IT_number 1
loop_
_space_group_symop_operation_xyz
'x,y,z'
loop_
_atom_site_label
_atom_site_type_symbol
_atom_site_fract_x
_atom_site_fract_y
_atom_site_fract_z
Cd1 Cd 0.000 0.236 0.000
Cd2 Cd 0.000 0.764 0.764
Cd3 Cd 0.000 0.000 0.236
Y1 Y 0.500 0.596 0.000
Y2 Y 0.500 0.404 0.404
Y3 Y 0.500 0.000 0.596
Zn1 Zn 0.000 0.333 0.667
Zn2 Zn 0.000 0.667 0.333